{
  "formula": "LiSmPaS4",
  "functional": "PBE",
  "state": "optimized geometry",
  "lattice": [[-4.0252, 4.0299, 5.7029], [4.0252, -4.0299, 5.7029], [4.0252, 4.0299, -5.7029]],
  "species": ["Li", "Li", "Sm", "Sm", "Pa", "Pa", "S", "S", "S", "S", "S", "S", "S", "S"],
  "fractional_positions": [[0.3668, 0.1168, 0.2500], [0.6332, 0.8832, 0.7500], [0.0000, 0.5000, 0.5000], [0.5000, 0.5000, 0.0000], [0.0000, 0.0000, 0.5000], [0.0000, 0.5000, 0.0000], [0.2278, 0.7466, 0.4812], [0.2346, 0.2534, 0.9812], [0.2370, 0.2454, 0.5083], [0.2370, 0.7287, 0.9917], [0.7630, 0.2713, 0.0083], [0.7630, 0.7546, 0.4917], [0.7654, 0.7466, 0.0188], [0.7722, 0.2534, 0.5188]],
  "total_energy_ev_per_atom": -6.358
}



{
  "formula": "MgZn2In",
  "functional": "PBE",
  "state": "optimized geometry",
  "lattice": [[3.2313, 0.0000, 0.0000], [0.0000, 4.1647, 0.0000], [0.0000, 0.0000, 5.8094]],
  "species": ["Mg", "Zn", "Zn", "In"],
  "fractional_positions": [[0.0000, 0.0000, 0.0000], [0.0000, 0.0000, 0.4703], [0.5000, 0.5000, 0.2391], [0.5000, 0.5000, 0.7253]],
  "delta_e_f_ev_per_atom": 0.026
}



{
  "formula": "Y4NiTe3",
  "functional": "PBE",
  "state": "optimized geometry",
  "lattice": [[4.4322, -6.1082, 0.0000], [4.4322, 6.1082, 0.0000], [0.0000, 0.0000, 4.1577]],
  "species": ["Y", "Y", "Y", "Y", "Ni", "Te", "Te", "Te"],
  "fractional_positions": [[0.2095, 0.2095, 0.5000], [0.2314, 0.7686, 0.0000], [0.7686, 0.2314, 0.0000], [0.7905, 0.7905, 0.5000], [0.0000, 0.0000, 0.0000], [0.0000, 0.5000, 0.5000], [0.5000, 0.0000, 0.5000], [0.5000, 0.5000, 0.0000]],
  "total_energy_ev_per_atom": -6.207
}



{
  "formula": "La3Sm4HoS8",
  "functional": "PBE",
  "state": "optimized geometry",
  "lattice": [[4.0541, 2.3407, 6.6060], [-4.0541, 2.3407, 6.6060], [0.0000, -4.6813, 6.6060]],
  "species": ["La", "La", "La", "Sm", "Sm", "Sm", "Sm", "Ho", "S", "S", "S", "S", "S", "S", "S", "S"],
  "fractional_positions": [[0.0000, 0.5000, 0.5000], [0.5000, 0.0000, 0.5000], [0.5000, 0.5000, 0.0000], [0.0000, 0.0000, 0.5000], [0.0000, 0.5000, 0.0000], [0.5000, 0.0000, 0.0000], [0.5000, 0.5000, 0.5000], [0.0000, 0.0000, 0.0000], [0.2387, 0.7546, 0.7546], [0.2454, 0.2454, 0.7613], [0.2454, 0.7613, 0.2454], [0.2464, 0.2464, 0.2464], [0.7536, 0.7536, 0.7536], [0.7546, 0.2387, 0.7546], [0.7546, 0.7546, 0.2387], [0.7613, 0.2454, 0.2454]],
  "total_energy_ev_per_atom": -6.517
}



{
  "formula": "Nd2DyS3",
  "functional": "PBE",
  "state": "optimized geometry",
  "lattice": [[-2.0049, 2.8405, 6.0323], [2.0049, -2.8405, 6.0323], [2.0049, 2.8405, -6.0323]],
  "species": ["Nd", "Nd", "Dy", "S", "S", "S"],
  "fractional_positions": [[0.1707, 0.1707, 0.0000], [0.8293, 0.8293, 0.0000], [0.5000, 0.5000, 0.0000], [0.0000, 0.5000, 0.5000], [0.3422, 0.8422, 0.5000], [0.6578, 0.1578, 0.5000]],
  "polymorph_energy_mev_per_atom": 5.4
}



{
  "formula": "AcErTlCu",
  "functional": "PBE",
  "state": "optimized geometry",
  "lattice": [[0.0000, 3.8362, 3.8362], [3.8362, 0.0000, 3.8362], [3.8362, 3.8362, 0.0000]],
  "species": ["Ac", "Er", "Tl", "Cu"],
  "fractional_positions": [[0.0000, 0.0000, 0.0000], [0.5000, 0.5000, 0.5000], [0.7500, 0.7500, 0.7500], [0.2500, 0.2500, 0.2500]],
  "delta_e_f_ev_per_atom": -0.156
}



{
  "formula": "Ba5La3Ga4O16",
  "functional": "PBE",
  "state": "optimized geometry",
  "lattice": [[6.0001, 0.0000, 0.0000], [0.0597, 7.5031, 0.0000], [0.0959, 0.0628, 10.2012]],
  "species": ["Ba", "Ba", "Ba", "Ba", "Ba", "La", "La", "La", "Ga", "Ga", "Ga", "Ga", "O", "O", "O", "O", "O", "O", "O", "O", "O", "O", "O", "O", "O", "O", "O", "O"],
  "fractional_positions": [[0.0000, 0.0000, 0.0000], [0.0060, 0.1631, 0.3757], [0.4775, 0.8413, 0.4879], [0.5004, 0.3509, 0.1497], [0.9771, 0.5032, 0.6475], [0.4709, 0.6723, 0.8646], [0.5070, 0.1738, 0.7785], [0.9782, 0.6621, 0.2701], [0.0011, 0.4548, 0.9804], [0.4769, 0.4042, 0.4895], [0.5060, 0.8828, 0.1519], [0.9747, 0.9494, 0.6686], [0.1318, 0.6696, 0.0309], [0.2383, 0.3735, 0.8716], [0.2390, 0.9204, 0.7620], [0.2481, 0.9040, 0.2513], [0.2499, 0.4885, 0.3790], [0.3894, 0.1776, 0.5420], [0.4822, 0.5397, 0.6443], [0.4921, 0.0402, 0.0073], [0.6297, 0.6692, 0.0893], [0.7316, 0.4588, 0.3928], [0.7393, 0.9379, 0.2646], [0.7425, 0.4169, 0.8835], [0.7445, 0.8677, 0.7798], [0.8566, 0.1757, 0.6345], [0.9809, 0.3269, 0.1373], [0.9880, 0.8196, 0.5124]],
  "total_energy_ev_per_atom": -6.710
}



{
  "formula": "Zr2TcMo",
  "functional": "PBE",
  "state": "optimized geometry",
  "lattice": [[3.3096, 0.0000, 0.0000], [0.0000, 3.3096, 0.0000], [0.0000, 0.0000, 6.6755]],
  "species": ["Zr", "Zr", "Tc", "Mo"],
  "fractional_positions": [[0.0000, 0.0000, 0.2444], [0.0000, 0.0000, 0.7556], [0.5000, 0.5000, 0.0000], [0.5000, 0.5000, 0.5000]],
  "delta_e_f_ev_per_atom": -0.149
}



{
  "formula": "LiCaRh2",
  "functional": "PBE",
  "state": "optimized geometry",
  "lattice": [[-2.3359, 2.3359, 8.3570], [2.3359, -2.3359, 8.3570], [2.3359, 2.3359, -8.3570]],
  "species": ["Li", "Li", "Ca", "Ca", "Rh", "Rh", "Rh", "Rh"],
  "fractional_positions": [[0.0000, 0.0000, 0.0000], [0.7500, 0.2500, 0.5000], [0.2500, 0.7500, 0.5000], [0.5000, 0.5000, 0.0000], [0.3750, 0.1539, 0.2789], [0.8461, 0.1250, 0.2211], [0.8750, 0.0961, 0.7211], [0.9039, 0.6250, 0.7789]],
  "delta_e_f_ev_per_atom": 0.222
}



{
  "formula": "CrNi2W",
  "functional": "PBE",
  "state": "optimized geometry",
  "lattice": [[0.0000, 2.9290, 2.9290], [2.9290, 0.0000, 2.9290], [2.9290, 2.9290, 0.0000]],
  "species": ["Cr", "Ni", "Ni", "W"],
  "fractional_positions": [[0.0000, 0.0000, 0.0000], [0.5000, 0.5000, 0.5000], [0.7500, 0.7500, 0.7500], [0.2500, 0.2500, 0.2500]],
  "delta_e_f_ev_per_atom": 0.184,
  "polymorph_energy_mev_per_atom": 154.7
}



{
  "formula": "ZnTc2Ge2",
  "functional": "PBE",
  "state": "optimized geometry",
  "lattice": [[7.0074, 0.0000, 0.0000], [0.0000, 7.0074, 0.0000], [0.0000, 0.0000, 3.0777]],
  "species": ["Zn", "Zn", "Tc", "Tc", "Tc", "Tc", "Ge", "Ge", "Ge", "Ge"],
  "fractional_positions": [[0.0000, 0.0000, 0.0000], [0.5000, 0.5000, 0.0000], [0.1523, 0.3477, 0.5000], [0.3477, 0.8477, 0.5000], [0.6523, 0.1523, 0.5000], [0.8477, 0.6523, 0.5000], [0.1437, 0.6437, 0.0000], [0.3563, 0.1437, 0.0000], [0.6437, 0.8563, 0.0000], [0.8563, 0.3563, 0.0000]],
  "delta_e_f_ev_per_atom": 0.060,
  "polymorph_energy_mev_per_atom": 130.6
}



{
  "formula": "Ge2PbAu3",
  "functional": "PBE",
  "state": "optimized geometry",
  "lattice": [[3.9284, 0.0000, 0.0000], [0.0000, 12.7848, 0.0000], [0.0000, 0.0000, 5.3739]],
  "species": ["Ge", "Ge", "Ge", "Ge", "Pb", "Pb", "Au", "Au", "Au", "Au", "Au", "Au"],
  "fractional_positions": [[0.2500, 0.0601, 0.2186], [0.2500, 0.4399, 0.2186], [0.7500, 0.5601, 0.7814], [0.7500, 0.9399, 0.7814], [0.2500, 0.7500, 0.1122], [0.7500, 0.2500, 0.8878], [0.2500, 0.0739, 0.7242], [0.2500, 0.2500, 0.3875], [0.2500, 0.4261, 0.7242], [0.7500, 0.5739, 0.2758], [0.7500, 0.7500, 0.6125], [0.7500, 0.9261, 0.2758]],
  "delta_e_f_ev_per_atom": 0.000
}